1.
Computed, not measured: a relaxed structure of ScTa2Nb at the PBE level of DFT.

Cell lengths 4.7580, 4.7580, 4.7580 Å; angles 60.00, 60.00, 60.00 degrees
Last column: nearest neighbours and their distance in Å.
Fractional coordinates of all 4 atoms:
Nb 0.5000 0.5000 0.5000  8 Ta 2.91
Ta 0.7500 0.7500 0.7500  4 Nb 2.91, 4 Sc 2.91
Ta 0.2500 0.2500 0.2500  4 Nb 2.91, 4 Sc 2.91
Sc 0.0000 0.0000 0.0000  8 Ta 2.91

E_form   199 meV per atom
ΔE to the lowest computed polymorph   58 meV/atom
Density   10.90 g cm⁻³

---

2.
Computed, not measured: a relaxed structure of Cs3PaAu2O6 at the PBE level of DFT.

Cell lengths 6.5864, 6.5864, 7.8137 Å; angles 90.00, 90.00, 120.00 degrees
Last column: nearest neighbours and their distance in Å.
Fractional coordinates of all 12 atoms:
O 0.7016 0.8508 0.3272  1 Au 2.11, 1 Pa 2.17
O 0.8508 0.7016 0.6728  1 Au 2.11, 1 Pa 2.17
O 0.1492 0.8508 0.3272  1 Au 2.11, 1 Pa 2.17
Cs 0.6667 0.3333 0.2603  6 O 3.34, 1 Au 3.38
O 0.2984 0.1492 0.6728  1 Au 2.11, 1 Pa 2.17
Cs 0.0000 0.0000 0.0000  6 O 3.07
Au 0.6667 0.3333 0.6922  3 O 2.11
Pa 0.0000 0.0000 0.5000  6 O 2.17
Cs 0.3333 0.6667 0.7397  6 O 3.34, 1 Au 3.38
Au 0.3333 0.6667 0.3078  3 O 2.11
O 0.8508 0.1492 0.6728  1 Au 2.11, 1 Pa 2.17
O 0.1492 0.2984 0.3272  1 Au 2.11, 1 Pa 2.17

E_form (uncorrected)   -1.506 eV/atom
Density   6.33 g cm⁻³

---

3.
Computed, not measured: a relaxed structure of LaGdErZn at the PBE level of DFT.

Cell lengths 5.4354, 5.4354, 5.4354 Å; angles 60.00, 60.00, 60.00 degrees
Last column: nearest neighbours and their distance in Å.
Fractional coordinates of all 4 atoms:
Er 0.5000 0.5000 0.5000  4 Gd 3.33, 4 La 3.33
La 0.2500 0.2500 0.2500  4 Zn 3.33, 4 Er 3.33
Zn 0.0000 0.0000 0.0000  4 Gd 3.33, 4 La 3.33
Gd 0.7500 0.7500 0.7500  4 Er 3.33, 4 Zn 3.33

E_form   11 meV per atom
Density   7.73 g cm⁻³

---

4.
Computed, not measured: a relaxed structure of PmPr2Zr at the PBE level of DFT.

Cell lengths 4.9944, 5.0271, 5.0271 Å; angles 90.00, 90.00, 90.00 degrees
Last column: nearest neighbours and their distance in Å.
Fractional coordinates of all 4 atoms:
Pm 0.5000 0.0000 0.0000  8 Pr 3.54, 4 Zr 3.55
Zr 0.5000 0.5000 0.5000  8 Pr 3.54, 4 Pm 3.55
Pr 0.0000 0.0000 0.5000  4 Zr 3.54, 4 Pm 3.54, 4 Pr 3.55
Pr 0.0000 0.5000 0.0000  4 Zr 3.54, 4 Pm 3.54, 4 Pr 3.55

E_form   147 meV per atom
ΔE to the lowest computed polymorph   11 meV/atom
Density   6.82 g cm⁻³

---

5.
Computed, not measured: a relaxed structure of PtAuSe2 at the PBE level of DFT.

Cell lengths 3.8195, 3.8212, 5.3709 Å; angles 90.00, 90.00, 90.00 degrees
Last column: nearest neighbours and their distance in Å.
Fractional coordinates of all 4 atoms:
Se 0.0000 0.0000 0.8750  2 Au 2.69, 4 Pt 2.70
Au 0.0000 0.0000 0.3750  6 Se 2.69-2.70
Se 0.5000 0.5000 0.3750  2 Pt 2.68-2.69, 4 Au 2.70
Pt 0.5000 0.5000 0.8749  6 Se 2.68-2.70

E_form (uncorrected)   0.039 eV/atom
Density   11.65 g cm⁻³

---

6.
Computed, not measured: a relaxed structure of TlAgC at the PBE level of DFT.

Cell lengths 6.9365, 7.0536, 9.5789 Å; angles 90.00, 90.00, 90.00 degrees
Last column: nearest neighbours and their distance in Å.
Fractional coordinates of all 12 atoms:
C 0.0002 0.7500 0.8767  2 Ag 2.12, 2 Tl 2.12
Tl 0.0000 0.5000 0.0000  2 C 2.12
C 0.4998 0.2500 0.3767  2 Ag 2.12, 2 Tl 2.12
C 0.5002 0.7500 0.6233  2 Ag 2.12, 2 Tl 2.12
Tl 0.5000 0.0000 0.5000  2 C 2.12
Ag 0.2498 0.2500 0.2500  2 C 2.12
Tl 0.5000 0.5000 0.5000  2 C 2.12
Ag 0.2502 0.7500 0.7500  2 C 2.12
C 0.9998 0.2500 0.1233  2 Ag 2.12, 2 Tl 2.12
Ag 0.7498 0.2500 0.2500  2 C 2.12
Ag 0.7502 0.7500 0.7500  2 C 2.12
Tl 0.0000 0.0000 0.0000  2 C 2.12

E_form   1222 meV per atom
Density   4.60 g cm⁻³

---

7.
Computed, not measured: a relaxed structure of SrErCu2O5 at the PBE level of DFT.

Cell lengths 3.8209, 3.8209, 7.5104 Å; angles 90.00, 90.00, 90.00 degrees
Last column: nearest neighbours and their distance in Å.
Fractional coordinates of all 9 atoms:
O 0.5000 0.0000 0.1868  2 Cu 1.94
Sr 0.0000 0.0000 0.5000  4 O 2.70
Cu 0.5000 0.5000 0.7675  5 O 1.94-2.01
Er 0.0000 0.0000 0.0000  8 O 2.37
O 0.5000 0.0000 0.8132  2 Cu 1.94
Cu 0.5000 0.5000 0.2325  5 O 1.94-2.01
O 0.5000 0.5000 0.5000  2 Cu 2.01
O 0.0000 0.5000 0.1868  2 Cu 1.94
O 0.0000 0.5000 0.8132  2 Cu 1.94

E_form (uncorrected)   -1.886 eV/atom
Density   7.00 g cm⁻³

---

8.
Computed, not measured: a relaxed structure of Mn2WCl at the PBE level of DFT.

Cell lengths 2.8641, 2.8641, 8.2332 Å; angles 90.00, 90.00, 114.74 degrees
Last column: nearest neighbours and their distance in Å.
Fractional coordinates of all 4 atoms:
Mn 0.5000 0.5000 0.2497  2 W 2.39, 2 Mn 2.53
Cl 0.5000 0.5000 0.7730  2 Mn 2.46
Mn 0.0000 0.0000 0.0061  2 Cl 2.46, 2 Mn 2.53
W 0.0000 0.0000 0.4711  2 Mn 2.39

E_form (uncorrected)   0.458 eV/atom
ΔE to the lowest computed polymorph   283 meV/atom
Density   8.91 g cm⁻³

---

no.,total magnetic moment (μB/cell),density of states at the Fermi level (states/eV/f.u.),total DFT energy (no corrections) (eV/atom)
1,0.00,6.76,-9.83
2,0.00,9.02,-5.54
3,7.75,5.05,-6.20
4,0.00,4.17,-5.57
5,0.00,2.44,-4.03
6,0.00,0.00,-3.59
7,0.95,4.15,-6.24
8,4.82,3.29,-7.83